VASP calculation (SCAN) on a crystal of MgCd4Sb relaxed with PBEsol.

Cell and atoms, written as CIF:
```
data_MgCd4Sb
_space_group_name_H-M_alt 'P 1'
_space_group_IT_number 1
_cell_length_a 5.786
_cell_length_b 5.786
_cell_length_c 5.786
_cell_angle_alpha 60.00
_cell_angle_beta 60.00
_cell_angle_gamma 60.00
loop_
_space_group_symop_operation_xyz
'x,y,z'
loop_
_atom_site_label
_atom_site_fract_x
_atom_site_fract_y
_atom_site_fract_z
Mg1 0.000 0.000 0.000
Cd1 0.375 0.375 0.375
Cd2 0.375 0.375 0.876
Cd3 0.375 0.876 0.375
Cd4 0.876 0.375 0.375
Sb1 0.750 0.750 0.750
```

Summary:
* raw formation energy: 0.09 eV per atom
* E: -163.3 eV/cell
* symmetry: F-43m (216)



VASP calculation (SCAN) on a crystal of PdRuS2 relaxed with PBEsol.

Cell and atoms, written as CIF:
```
data_PdRuS2
_space_group_name_H-M_alt 'P 1'
_space_group_IT_number 1
_cell_length_a 4.239
_cell_length_b 4.239
_cell_length_c 4.239
_cell_angle_alpha 60.00
_cell_angle_beta 60.00
_cell_angle_gamma 60.00
loop_
_space_group_symop_operation_xyz
'x,y,z'
loop_
_atom_site_label
_atom_site_fract_x
_atom_site_fract_y
_atom_site_fract_z
Pd1 0.000 0.000 0.000
Ru1 0.500 0.500 0.500
S1 0.250 0.250 0.250
S2 0.750 0.750 0.750
```

Summary:
* raw formation energy: 0.22 eV per atom
* E: -86.0 eV/cell
* symmetry: Fm-3m (225)



VASP calculation (SCAN) on a crystal of Na3HO relaxed with PBEsol.

Cell and atoms, written as CIF:
```
data_Na3HO
_space_group_name_H-M_alt 'P 1'
_space_group_IT_number 1
_cell_length_a 4.433
_cell_length_b 4.433
_cell_length_c 4.433
_cell_angle_alpha 90.00
_cell_angle_beta 90.00
_cell_angle_gamma 90.00
loop_
_space_group_symop_operation_xyz
'x,y,z'
loop_
_atom_site_label
_atom_site_fract_x
_atom_site_fract_y
_atom_site_fract_z
Na1 0.000 0.000 0.500
Na2 0.000 0.500 0.000
Na3 0.500 0.000 0.000
H1 0.500 0.500 0.500
O1 0.000 0.000 0.000
```

Summary:
* E: -26.5 eV/cell
* symmetry: Pm-3m (221)



VASP calculation (SCAN) on a crystal of CaSnSbI2 relaxed with PBEsol.

Cell and atoms, written as CIF:
```
data_CaSnSbI2
_space_group_name_H-M_alt 'P 1'
_space_group_IT_number 1
_cell_length_a 5.814
_cell_length_b 5.814
_cell_length_c 5.761
_cell_angle_alpha 90.00
_cell_angle_beta 90.00
_cell_angle_gamma 90.00
loop_
_space_group_symop_operation_xyz
'x,y,z'
loop_
_atom_site_label
_atom_site_fract_x
_atom_site_fract_y
_atom_site_fract_z
Ca1 0.000 0.000 0.000
Sn1 0.500 0.500 0.500
Sb1 0.500 0.500 0.000
I1 0.000 0.500 0.500
I2 0.500 0.000 0.500
```

Summary:
* raw formation energy: -0.16 eV per atom
* E: -157.1 eV/cell
* symmetry: P4/mmm (123)



VASP calculation (SCAN) on a crystal of Ba2WCl relaxed with PBEsol.

Cell and atoms, written as CIF:
```
data_Ba2WCl
_space_group_name_H-M_alt 'P 1'
_space_group_IT_number 1
_cell_length_a 3.362
_cell_length_b 5.376
_cell_length_c 6.178
_cell_angle_alpha 90.00
_cell_angle_beta 90.00
_cell_angle_gamma 90.00
loop_
_space_group_symop_operation_xyz
'x,y,z'
loop_
_atom_site_label
_atom_site_fract_x
_atom_site_fract_y
_atom_site_fract_z
Ba1 0.000 0.000 0.000
Ba2 0.500 0.500 0.500
W1 0.000 0.000 0.500
Cl1 0.500 0.500 0.000
```

Summary:
* raw formation energy: 0.16 eV per atom
* E: -156.1 eV/cell
* symmetry: Pmmm (47)



VASP calculation (SCAN) on a crystal of YFe2NiW relaxed with PBEsol.

Cell and atoms, written as CIF:
```
data_YFe2NiW
_space_group_name_H-M_alt 'P 1'
_space_group_IT_number 1
_cell_length_a 4.350
_cell_length_b 4.350
_cell_length_c 5.283
_cell_angle_alpha 90.00
_cell_angle_beta 90.00
_cell_angle_gamma 90.00
loop_
_space_group_symop_operation_xyz
'x,y,z'
loop_
_atom_site_label
_atom_site_fract_x
_atom_site_fract_y
_atom_site_fract_z
Y1 0.000 0.000 0.000
Fe1 0.000 0.500 0.500
Fe2 0.500 0.000 0.500
Ni1 0.500 0.500 0.000
W1 0.000 0.000 0.500
```

Summary:
* formation energy: 1.5455 eV per atom
* E: -142.2 eV/cell
* symmetry: P4/mmm (123)



VASP calculation (SCAN) on a crystal of MnRu2Br relaxed with PBEsol.

Cell and atoms, written as CIF:
```
data_MnRu2Br
_space_group_name_H-M_alt 'P 1'
_space_group_IT_number 1
_cell_length_a 5.226
_cell_length_b 5.226
_cell_length_c 5.226
_cell_angle_alpha 147.95
_cell_angle_beta 130.22
_cell_angle_gamma 60.45
loop_
_space_group_symop_operation_xyz
'x,y,z'
loop_
_atom_site_label
_atom_site_fract_x
_atom_site_fract_y
_atom_site_fract_z
Mn1 0.000 0.000 0.000
Ru1 0.271 0.771 0.500
Ru2 0.729 0.229 0.500
Br1 0.500 0.500 0.000
```

Summary:
* raw formation energy: 0.67 eV per atom
* E: -104.7 eV/cell
* symmetry: Immm (71)



VASP calculation (SCAN) on a crystal of Li3Ni relaxed with PBEsol.

Cell and atoms, written as CIF:
```
data_Li3Ni
_space_group_name_H-M_alt 'P 1'
_space_group_IT_number 1
_cell_length_a 2.551
_cell_length_b 2.551
_cell_length_c 9.021
_cell_angle_alpha 90.00
_cell_angle_beta 90.00
_cell_angle_gamma 112.16
loop_
_space_group_symop_operation_xyz
'x,y,z'
loop_
_atom_site_label
_atom_site_fract_x
_atom_site_fract_y
_atom_site_fract_z
Li1 0.000 0.000 0.000
Li2 0.500 0.500 0.283
Li3 0.500 0.500 0.717
Ni1 0.000 0.000 0.500
```

Summary:
* formation energy: 0.1049 eV per atom
* E: -22.9 eV/cell
* symmetry: Cmmm (65)



- Which of these has the highest E?
  Li3Ni